Pr3NiHg2, relaxed, DFT PBE; crystal system = monoclinic; M_tot = 0.00 μB/f.u.; E_form = -0.32 eV/atom
1.0
5.367 0.000 0.000
0.000 7.448 0.931
-2.684 -1.021 8.243
Pr Hg Ni
6 4 2
Direct
0.499 0.750 0.000
0.501 0.250 0.000
0.862 0.500 0.725
0.138 0.500 0.275
0.138 0.000 0.275
0.862 0.000 0.725
0.306 0.750 0.611
0.694 0.750 0.389
0.306 0.250 0.611
0.694 0.250 0.389
0.999 0.750 0.000
0.001 0.250 0.000